Entry 1:
The following is a DFT calculation (PBE-GGA) of a geometry-optimized CsSiAu3 structure.

a b c (Å): 19.652 8.405 8.405
angles (deg): 147.41 150.88 29.12
Fractional coordinates of all 10 atoms:
Cs1 0.878 0.009 0.991
Cs2 0.122 0.991 0.009
Si1 0.549 0.060 0.940
Si2 0.451 0.940 0.060
Au1 0.565 0.509 0.491
Au2 0.435 0.491 0.509
Au3 0.218 0.103 0.897
Au4 0.782 0.897 0.103
Au5 0.622 0.629 0.371
Au6 0.378 0.371 0.629

Properties
* ρ: 8.060 g cm⁻³
* V: 30.98 Å³ per atom
* formation energy without anion corrections: -0.0457 eV per atom
* density of states at the Fermi level: 0.26 states/eV per atom
* energy above the most stable polymorph in this dataset: 1.23 eV per formula unit
* SG: C2/m, No. 12

---

Entry 2:
The following is a DFT calculation (PBE-GGA) of a geometry-optimized CsSiAu3 structure.

a b c (Å): 4.289 4.289 19.763
angles (deg): 90.00 90.00 120.00
Fractional coordinates of all 10 atoms:
Cs1 0.000 0.000 0.000
Cs2 0.000 0.000 0.500
Si1 0.333 0.667 0.750
Si2 0.667 0.333 0.250
Au1 0.000 0.000 0.250
Au2 0.000 0.000 0.750
Au3 0.333 0.667 0.871
Au4 0.333 0.667 0.629
Au5 0.667 0.333 0.371
Au6 0.667 0.333 0.129

Properties
* ρ: 7.932 g cm⁻³
* V: 31.48 Å³ per atom
* formation energy without anion corrections: 0.1973 eV per atom
* density of states at the Fermi level: 0.55 states/eV per atom
* energy above the most stable polymorph in this dataset: 2.44 eV per formula unit
* SG: P6_3/mmc, No. 194